(1)
Crystalline Ac3HIrAu at its relaxed geometry. Source: the Alexandria database, functional PBE.

Results
* total moment: 0.000 μB/atom
* electronic total energy: -5.30 eV per atom
* Fermi-level density of states: 0.56 states/eV per atom

a b c (Å): 9.008 4.278 9.433
angles (deg): 90.00 102.40 90.00
Space group P2_1/m (No. 11)
Inequivalent atoms, fractional coordinates:
Ac  0.064  0.250  0.335 x2
Ac  0.295  0.250  0.979 x2
Ac  0.390  0.750  0.643 x2
H  0.425  0.750  0.923 x2
Ir  0.171  0.250  0.665 x2
Au  0.323  0.750  0.263 x2

=====

(2)
Crystalline AcH8Ir2Au at its relaxed geometry. Source: the Alexandria database, functional PBE.

Results
* total moment: 0.000 μB/atom
* electronic total energy: -4.41 eV per atom
* Fermi-level density of states: 0.10 states/eV per atom

a b c (Å): 4.9578 4.9578 17.4014
angles (deg): 90.00 90.00 120.00
Space group R-3 (No. 148, hexagonal axes)
Inequivalent atoms, fractional coordinates:
Ac  0.0000  0.0000  0.0000 x3
H  0.0000  0.0000  0.3065 x6
H  0.0328  0.7371  0.8807 x18
Ir  0.0000  0.0000  0.2106 x6
Au  0.0000  0.0000  0.5000 x3